[1]
This record from Alexandria describes crystalline TcMo2Pt at its relaxed geometry. The functional is GGA-PBE.

Calculated values
Space group: P4mm
Electronic total energy (eV for the cell shown): -38.1
Energy of formation from the pure elements (eV per atom): 0.0007
Energy above the most stable polymorph in this dataset (eV per atom): 0.170
N(E_F) (states/eV per cell): 3.56
Calculated volume (Å³ per cell): 61.9

Cell: 2.760 2.760 8.128 Å, 90.00 90.00 90.00°
Fractional positions:
Pt (0.000, 0.000, 0.502)
Mo (0.500, 0.500, 0.253)
Mo (0.000, 0.000, 0.991)
Tc (0.500, 0.500, 0.754)


[2]
This record from Alexandria describes crystalline TcMo2Pt at its relaxed geometry. The functional is GGA-PBE.

Calculated values
Space group: I4/mmm
Electronic total energy (eV for the cell shown): -38.7
Energy of formation from the pure elements (eV per atom): -0.1507
Energy above the most stable polymorph in this dataset (eV per atom): 0.019
N(E_F) (states/eV per cell): 3.65
Calculated volume (Å³ per cell): 61.3

Cell: 4.808 4.808 4.808 Å, 131.36 131.36 71.24°
Fractional positions:
Tc (0.250, 0.750, 0.500)
Mo (0.000, 0.000, 0.000)
Pt (0.750, 0.250, 0.500)
Mo (0.500, 0.500, 0.000)